Material: TbMnO3
Method: DFT, PBE+U
State: relaxed

Unit cell a=5.345 b=5.892 c=7.505 alpha=90.00 beta=90.00 gamma=90.00
Atoms (fractional coordinates):
Mn: 0.500 0.000 0.500
O: 0.702 0.325 0.055
Mn: 0.000 0.500 0.500
Tb: 0.981 0.082 0.250
Tb: 0.519 0.582 0.250
O: 0.798 0.825 0.445
O: 0.202 0.175 0.945
O: 0.116 0.460 0.250
O: 0.384 0.960 0.250
Mn: 0.500 0.000 0.000
Tb: 0.481 0.418 0.750
O: 0.298 0.675 0.555
O: 0.298 0.675 0.945
O: 0.798 0.825 0.055
Mn: 0.000 0.500 0.000
Tb: 0.019 0.918 0.750
O: 0.202 0.175 0.555
O: 0.616 0.040 0.750
O: 0.884 0.540 0.750
O: 0.702 0.325 0.445

Magnetic moment   4.00 μB/f.u.
Uncorrected energy   -8.008 eV/atom